Below is a relaxed structure of HgC2N, with properties calculated at the PBE-GGA level.

Unit cell a=3.9845 b=3.9845 c=3.9845 alpha=60.00 beta=60.00 gamma=60.00
Closest atoms and distances in Å follow each position.
Positions (direct):
Hg 0.0000 0.0000 0.0000  8 C 2.44
C 0.2500 0.2500 0.2500  4 Hg 2.44, 4 N 2.44
C 0.7500 0.7500 0.7500  4 Hg 2.44, 4 N 2.44
N 0.5000 0.5000 0.5000  8 C 2.44

Relative energy among the computed polymorphs   1.511 eV per atom
Magnetic moment   0.000 μB per formula unit